[1]
A geometry-optimized LiCo2Tc structure. Source: Alexandria via LeMat-Bulk, functional GGA-PBEsol. Values from VASP.

The structure in Quantum ESPRESSO input format:
```
&SYSTEM
  ibrav = 0, nat = 4, ntyp = 3
/
ATOMIC_SPECIES
Li 6.94 Li.upf
Co 58.93 Co.upf
Tc 98.00 Tc.upf
ATOMIC_POSITIONS angstrom
Li 0.000 0.000 0.000
Co 1.326 1.326 1.555
Co 1.326 1.326 4.810
Tc 0.000 0.000 3.183
CELL_PARAMETERS angstrom
2.653 0.000 0.000
0.000 2.653 0.000
0.000 0.000 6.365
```

Properties
energy of formation: 183 meV/atom
SG: P4/mmm, No. 123
E above lowest polymorph: 0 meV/atom

[2]
A geometry-optimized Li2CoTc structure. Source: Alexandria via LeMat-Bulk, functional GGA-PBEsol. Values from VASP.

The structure in Quantum ESPRESSO input format:
```
&SYSTEM
  ibrav = 0, nat = 8, ntyp = 3
/
ATOMIC_SPECIES
Li 6.94 Li.upf
Co 58.93 Co.upf
Tc 98.00 Tc.upf
ATOMIC_POSITIONS angstrom
Li 0.000 0.000 2.132
Li 0.000 0.000 6.980
Li 1.274 2.101 2.424
Li 1.274 2.101 6.688
Co 0.000 2.101 4.556
Co 1.274 0.000 0.000
Tc 0.000 2.101 0.000
Tc 1.274 0.000 4.556
CELL_PARAMETERS angstrom
2.548 0.000 0.000
0.000 4.202 0.000
0.000 0.000 9.112
```

Properties
energy of formation: 257 meV/atom
SG: Immm, No. 71
E above lowest polymorph: 0 meV/atom

[3]
A geometry-optimized LiCoTe2 structure. Source: Alexandria via LeMat-Bulk, functional GGA-PBEsol. Values from VASP.

The structure in Quantum ESPRESSO input format:
```
&SYSTEM
  ibrav = 0, nat = 4, ntyp = 3
/
ATOMIC_SPECIES
Li 6.94 Li.upf
Co 58.93 Co.upf
Te 127.60 Te.upf
ATOMIC_POSITIONS angstrom
Li 0.000 0.000 0.000
Co 0.000 0.000 3.625
Te 1.609 1.656 2.039
Te 1.609 1.656 5.210
CELL_PARAMETERS angstrom
3.217 0.000 0.000
0.000 3.313 0.000
0.000 0.000 7.249
```

Properties
uncorrected energy: -16.828 eV/f.u.
SG: Pmmm, No. 47

[4]
A geometry-optimized Li2CoTe structure. Source: Alexandria via LeMat-Bulk, functional GGA-PBEsol. Values from VASP.

The structure in Quantum ESPRESSO input format:
```
&SYSTEM
  ibrav = 0, nat = 12, ntyp = 3
/
ATOMIC_SPECIES
Li 6.94 Li.upf
Co 58.93 Co.upf
Te 127.60 Te.upf
ATOMIC_POSITIONS angstrom
Li 0.000 0.000 0.000
Li 0.000 0.000 2.906
Li 0.000 2.416 8.475
Li 0.000 2.416 11.381
Li 2.092 1.208 4.238
Li 2.092 1.208 7.143
Co 0.000 0.000 9.991
Co 0.000 2.416 5.754
Co 2.092 1.208 1.516
Te 0.000 0.000 5.785
Te 0.000 2.416 1.548
Te 2.092 1.208 10.023
CELL_PARAMETERS angstrom
4.184 0.000 0.000
-2.092 3.624 0.000
0.000 0.000 12.713
```

Properties
uncorrected energy: -16.403 eV/f.u.
SG: R3m, No. 160

[5]
A geometry-optimized Li2CoTe structure. Source: Alexandria via LeMat-Bulk, functional GGA-PBEsol. Values from VASP.

The structure in Quantum ESPRESSO input format:
```
&SYSTEM
  ibrav = 0, nat = 8, ntyp = 3
/
ATOMIC_SPECIES
Li 6.94 Li.upf
Co 58.93 Co.upf
Te 127.60 Te.upf
ATOMIC_POSITIONS angstrom
Li 0.000 1.845 2.117
Li 0.000 1.845 6.351
Li 1.845 0.000 2.117
Li 1.845 0.000 6.351
Co 0.000 0.000 0.000
Co 1.845 1.845 4.234
Te 0.000 0.000 4.234
Te 1.845 1.845 0.000
CELL_PARAMETERS angstrom
3.689 0.000 0.000
0.000 3.689 0.000
0.000 0.000 8.468
```

Properties
uncorrected energy: -15.926 eV/f.u.
SG: I4/mmm, No. 139

[6]
A geometry-optimized Li2CoTe structure. Source: Alexandria via LeMat-Bulk, functional GGA-PBEsol. Values from VASP.

The structure in Quantum ESPRESSO input format:
```
&SYSTEM
  ibrav = 0, nat = 4, ntyp = 3
/
ATOMIC_SPECIES
Li 6.94 Li.upf
Co 58.93 Co.upf
Te 127.60 Te.upf
ATOMIC_POSITIONS angstrom
Li 0.000 1.884 0.000
Li 1.884 0.000 0.000
Co 0.000 0.000 2.055
Te 1.884 1.884 2.055
CELL_PARAMETERS angstrom
3.767 0.000 0.000
0.000 3.767 0.000
0.000 0.000 4.110
```

Properties
uncorrected energy: -16.086 eV/f.u.
SG: P4/mmm, No. 123

Calculated values (g/cm³) of mass density for the records, taken in order: 8.3, 5.8, 6.9, 5.2, 5.8, 5.7.
Calculated values (μB/f.u.) of magnetic moment for the records, taken in order: 0.0, 0.0, 1.0, 0.0, 0.4, 1.0.